# AsPRu, optimized geometry, DFT PBEsol
# density of states at the Fermi level	2.05	states/eV/f.u.
# magnetization	0.0000	μB per atom
# formation energy	0.55	eV per atom
data_AsPRu
_chemical_formula_sum 'As4 P4 Ru4'
_cell_length_a 5.8174
_cell_length_b 5.8174
_cell_length_c 5.8174
_cell_angle_alpha 90.00
_cell_angle_beta 90.00
_cell_angle_gamma 90.00
_space_group_name_H-M_alt 'F -4 3 m'
_space_group_IT_number 216
_space_group_name_Hall 'F -4 2 3'
loop_
_atom_site_label
_atom_site_type_symbol
_atom_site_fract_x
_atom_site_fract_y
_atom_site_fract_z
As1 As 0.0000 0.0000 0.0000
P1 P 0.2500 0.2500 0.2500
Ru1 Ru 0.2500 0.2500 0.7500